The following is a DFT calculation (PBE-GGA) of a relaxed structure of CaPm3Sm4Se8.

Summary:
formation energy without anion corrections	-1.838	eV/atom
theoretical density	6.84	g/cm3
calculated total energy	-5.78	eV/atom
N(E_F)	0.53	states/eV per atom

Lattice parameters (Å, degrees): 8.372 8.365 8.372 120.02 120.00 90.00
Fractional positions:
Ca: 0.000 0.500 0.000
Pm: 0.500 0.500 0.000
Pm: 0.500 0.500 0.500
Pm: 0.000 0.500 0.500
Sm: 0.500 0.000 0.000
Sm: 0.500 0.000 0.500
Sm: 0.000 0.000 0.000
Sm: 0.000 0.000 0.500
Se: 0.248 0.749 0.001
Se: 0.248 0.750 0.496
Se: 0.249 0.248 0.499
Se: 0.753 0.749 0.001
Se: 0.247 0.251 0.999
Se: 0.751 0.752 0.501
Se: 0.752 0.250 0.504
Se: 0.752 0.251 0.999